(1)
Crystalline BiB2Os2 at its relaxed geometry, computed with GGA-PBE.

Cell lengths 7.119, 7.119, 2.875 Å; angles 90.00, 90.00, 90.00 degrees
Sites, in units of the cell vectors:
B 0.898 0.398 0.500
B 0.602 0.898 0.500
B 0.102 0.602 0.500
B 0.398 0.102 0.500
Os 0.635 0.135 0.000
Os 0.865 0.635 0.000
Os 0.135 0.365 0.000
Os 0.365 0.865 0.000
Bi 0.000 0.000 0.000
Bi 0.500 0.500 0.000

## Properties
* total moment: 0.00 μB/f.u.
* density of states at the Fermi level: 4.26 states/eV/f.u.
* raw total energy: -7.081 eV/atom
* space group: P4/mbm, No. 127
* mass density: 13928 kg/m³

***

(2)
Crystalline ScMn6Ge6 at its relaxed geometry, computed with GGA-PBE.

Cell lengths 5.128, 6.525, 6.525 Å; angles 76.43, 66.86, 66.86 degrees
Each line ends with the local moment (μB).
Sites, in units of the cell vectors:
Mn 0.500 0.000 0.500  2.06
Mn 0.500 0.500 0.000  2.06
Mn 0.000 0.500 0.000  2.06
Mn 0.500 0.747 0.253  2.04
Mn 0.000 0.000 0.500  2.06
Mn 0.500 0.253 0.747  2.04
Ge 0.664 0.836 0.836  -0.10
Ge 0.000 0.660 0.340  -0.10
Ge 0.000 0.340 0.660  -0.10
Ge 0.332 0.668 0.668  -0.10
Ge 0.336 0.164 0.164  -0.10
Ge 0.668 0.332 0.332  -0.10
Sc 0.000 0.000 0.000  -0.24

## Properties
* total moment: 11.51 μB/f.u.
* density of states at the Fermi level: 4.12 states/eV/f.u.
* raw total energy: -7.160 eV/atom
* space group: Immm, No. 71
* mass density: 7322 kg/m³